[1]
Here is La3InPd after structural relaxation from Alexandria. Energies are from PBE.

a = 5.637 Å, b = 5.637 Å, c = 5.637 Å
α = 90.00°, β = 90.00°, γ = 90.00°
Space group Pm-3m (No. 221)
Symmetry-distinct sites (fractional):
La  0.000  0.000  0.500 x3
In  0.500  0.500  0.500 x1
Pd  0.000  0.000  0.000 x1

Summary:
The value obtained for the distance to the lowest polymorph of the same formula is 183.7 meV/atom. As for the density: 5.91 g cm⁻³. The formation energy is -6.4 kcal/mol of atoms. The total energy comes out at -0.35414 Ry per atom.

---

[2]
Here is BaCa2As2 after structural relaxation from Alexandria. Energies are from PBE.

a = 4.796 Å, b = 4.796 Å, c = 14.116 Å
α = 90.00°, β = 90.00°, γ = 90.00°
Space group I4/mmm (No. 139)
Symmetry-distinct sites (fractional):
Ba  0.000  0.000  0.000 x2
Ca  0.000  0.500  0.250 x4
As  0.000  0.000  0.370 x4

Summary:
The value obtained for the distance to the lowest polymorph of the same formula is 168.1 meV/atom. As for the density: 3.76 g cm⁻³. The formation energy is -23.4 kcal/mol of atoms. The total energy comes out at -0.29840 Ry per atom.

---

[3]
Here is Zr2Sc3Al3 after structural relaxation from Alexandria. Energies are from PBE.

a = 4.155 Å, b = 4.376 Å, c = 17.997 Å
α = 90.00°, β = 90.00°, γ = 90.00°
Space group Immm (No. 71)
Symmetry-distinct sites (fractional):
Zr  0.000  0.000  0.242 x4
Sc  0.000  0.000  0.000 x2
Sc  0.000  0.500  0.119 x4
Al  0.000  0.000  0.500 x2
Al  0.000  0.500  0.375 x4

Summary:
As for the density: 4.04 g cm⁻³. The formation energy is -8.2 kcal/mol of atoms. The total energy comes out at -0.46087 Ry per atom.

---

[4]
Here is Mg5Tl3 after structural relaxation from Alexandria. Energies are from PBE.

a = 6.065 Å, b = 15.894 Å, c = 8.570 Å
α = 90.00°, β = 107.17°, γ = 90.00°
Space group C2/m (No. 12)
Symmetry-distinct sites (fractional):
Mg  0.092  0.170  0.190 x8
Mg  0.140  0.402  0.337 x8
Mg  0.246  0.000  0.998 x4
Tl  0.000  0.238  0.500 x4
Tl  0.000  0.330  0.000 x4
Tl  0.145  0.000  0.347 x4

Summary:
The value obtained for the distance to the lowest polymorph of the same formula is 23.5 meV/atom. As for the density: 6.18 g cm⁻³. The formation energy is -0.1 kcal/mol of atoms. The total energy comes out at -0.13884 Ry per atom.

---

[5]
Here is Y3Al5Pd after structural relaxation from Alexandria. Energies are from PBE.

a = 7.0151 Å, b = 7.0151 Å, c = 4.3862 Å
α = 90.00°, β = 90.00°, γ = 120.00°
Space group P-62m (No. 189)
Symmetry-distinct sites (fractional):
Y  0.0000  0.4158  0.0000 x3
Al  0.0000  0.7660  0.5000 x3
Al  0.3333  0.6667  0.5000 x2
Pd  0.0000  0.0000  0.0000 x1

Summary:
As for the density: 4.51 g cm⁻³. The formation energy is -15.4 kcal/mol of atoms. The total energy comes out at -0.40268 Ry per atom.

---

[6]
Here is Tl2SiW after structural relaxation from Alexandria. Energies are from PBE.

a = 5.676 Å, b = 10.153 Å, c = 3.092 Å
α = 90.00°, β = 112.64°, γ = 90.00°
Space group C2/m (No. 12)
Symmetry-distinct sites (fractional):
Tl  0.250  0.250  0.000 x4
Si  0.000  0.000  0.500 x2
W  0.000  0.500  0.500 x2

Summary:
The value obtained for the distance to the lowest polymorph of the same formula is 605.8 meV/atom. As for the density: 12.53 g cm⁻³. As for the formation energy (no corrections): 1.07 eV/atom. The total energy comes out at -0.34629 Ry per atom.

---

[7]
Here is V5Mo3 after structural relaxation from Alexandria. Energies are from PBE.

a = 8.486 Å, b = 8.803 Å, c = 3.068 Å
α = 90.00°, β = 90.00°, γ = 90.00°
Space group Cmmm (No. 65)
Symmetry-distinct sites (fractional):
V  0.000  0.000  0.000 x2
V  0.248  0.500  0.500 x4
V  0.250  0.250  0.000 x4
Mo  0.000  0.244  0.500 x4
Mo  0.000  0.500  0.000 x2

Summary:
The value obtained for the distance to the lowest polymorph of the same formula is 12.9 meV/atom. As for the density: 7.86 g cm⁻³. The formation energy is -2.2 kcal/mol of atoms. The total energy comes out at -0.72443 Ry per atom.

---

[8]
Here is SrTa2Tc after structural relaxation from Alexandria. Energies are from PBE.

a = 3.177 Å, b = 4.987 Å, c = 4.992 Å
α = 90.00°, β = 90.00°, γ = 90.00°
Space group Pmmm (No. 47)
Symmetry-distinct sites (fractional):
Sr  0.000  0.000  0.000 x1
Ta  0.000  0.500  0.500 x1
Ta  0.500  0.000  0.500 x1
Tc  0.500  0.500  0.000 x1

Summary:
The value obtained for the distance to the lowest polymorph of the same formula is 509.7 meV/atom. As for the density: 11.49 g cm⁻³. The formation energy is 22.0 kcal/mol of atoms. The total energy comes out at -0.58676 Ry per atom.

---

[9]
Here is Zn2GaCu after structural relaxation from Alexandria. Energies are from PBE.

a = 4.286 Å, b = 7.603 Å, c = 4.289 Å
α = 90.00°, β = 119.26°, γ = 90.00°
Space group P2_1/m (No. 11)
Symmetry-distinct sites (fractional):
Zn  0.169  0.077  0.330 x4
Ga  0.496  0.750  0.006 x2
Cu  0.161  0.750  0.342 x2

Summary:
As for the density: 7.19 g cm⁻³. The formation energy is -0.3 kcal/mol of atoms. The total energy comes out at -0.17860 Ry per atom.

---

[10]
Here is SrCa2PbN after structural relaxation from Alexandria. Energies are from PBE.

a = 4.946 Å, b = 4.946 Å, c = 5.312 Å
α = 90.00°, β = 90.00°, γ = 90.00°
Space group P4/mmm (No. 123)
Symmetry-distinct sites (fractional):
Sr  0.000  0.000  0.000 x1
Ca  0.000  0.500  0.500 x2
Pb  0.500  0.500  0.000 x1
N  0.000  0.000  0.500 x1

Summary:
As for the density: 4.97 g cm⁻³. As for the formation energy (no corrections): -0.70 eV/atom. The total energy comes out at -0.31168 Ry per atom.

---

[11]
Here is PSe after structural relaxation from Alexandria. Energies are from PBE.

a = 9.177 Å, b = 9.177 Å, c = 4.701 Å
α = 90.00°, β = 90.00°, γ = 90.00°
Space group P4/m (No. 83)
Symmetry-distinct sites (fractional):
P  0.016  0.380  0.000 x4
P  0.338  0.429  0.500 x4
Se  0.038  0.687  0.500 x4
Se  0.273  0.375  0.000 x4

Summary:
The value obtained for the distance to the lowest polymorph of the same formula is 269.9 meV/atom. As for the density: 3.69 g cm⁻³. As for the formation energy (no corrections): 0.19 eV/atom. The total energy comes out at -0.31292 Ry per atom.

---

[12]
Here is Mg2FePb after structural relaxation from Alexandria. Energies are from PBE.

a = 5.951 Å, b = 5.975 Å, c = 8.791 Å
α = 90.00°, β = 90.00°, γ = 90.00°
Space group F222 (No. 22)
Symmetry-distinct sites (fractional):
Mg  0.000  0.000  0.000 x4
Mg  0.250  0.250  0.250 x4
Fe  0.000  0.000  0.500 x4
Pb  0.250  0.250  0.750 x4

Summary:
As for the density: 6.62 g cm⁻³. The formation energy is 5.4 kcal/mol of atoms. The total energy comes out at -0.26507 Ry per atom.

---

[13]
Here is SrLiCa6 after structural relaxation from Alexandria. Energies are from PBE.

a = 6.938 Å, b = 6.941 Å, c = 6.942 Å
α = 89.82°, β = 89.74°, γ = 89.91°
Space group P-1 (No. 2)
Symmetry-distinct sites (fractional):
Sr  0.000  0.000  0.000 x1
Li  0.500  0.500  0.500 x1
Ca  0.001  0.746  0.500 x2
Ca  0.254  0.499  0.000 x2
Ca  0.499  0.000  0.254 x2

Summary:
The value obtained for the distance to the lowest polymorph of the same formula is 69.9 meV/atom. As for the density: 1.66 g cm⁻³. The formation energy is 2.1 kcal/mol of atoms. The total energy comes out at -0.13665 Ry per atom.

---

[14]
Here is Na3Pa2TiSe6 after structural relaxation from Alexandria. Energies are from PBE.

a = 18.403 Å, b = 4.015 Å, c = 8.527 Å
α = 90.00°, β = 109.16°, γ = 90.00°
Space group C2/m (No. 12)
Symmetry-distinct sites (fractional):
Na  0.000  0.000  0.000 x2
Na  0.168  0.500  0.331 x4
Pa  0.162  0.500  0.822 x4
Ti  0.000  0.000  0.500 x2
Se  0.000  0.500  0.280 x4
Se  0.156  0.000  0.578 x4
Se  0.170  0.000  0.075 x4

Summary:
As for the density: 5.87 g cm⁻³. As for the formation energy (no corrections): -1.25 eV/atom. The total energy comes out at -0.40852 Ry per atom.

---

[15]
Here is MnSi after structural relaxation from Alexandria. Energies are from PBE.

a = 4.519 Å, b = 4.519 Å, c = 4.519 Å
α = 90.00°, β = 90.00°, γ = 90.00°
Space group P2_13 (No. 198)
Symmetry-distinct sites (fractional):
Mn  0.137  0.137  0.137 x4
Si  0.155  0.345  0.655 x4

Summary:
As for the density: 5.98 g cm⁻³. As for the formation energy (no corrections): -0.46 eV/atom. The total energy comes out at -0.57024 Ry per atom.

---

[16]
Here is SmURu after structural relaxation from Alexandria. Energies are from PBE.

a = 3.5790 Å, b = 3.5790 Å, c = 6.4417 Å
α = 90.00°, β = 90.00°, γ = 120.00°
Space group P3m1 (No. 156)
Symmetry-distinct sites (fractional):
Sm  0.0000  0.0000  0.0000 x1
U  0.6667  0.3333  0.4138 x1
Ru  0.3333  0.6667  0.6454 x1

Summary:
The value obtained for the distance to the lowest polymorph of the same formula is 150.4 meV/atom. As for the density: 11.37 g cm⁻³. The formation energy is 1.6 kcal/mol of atoms. The total energy comes out at -0.61435 Ry per atom.

---

[17]
Here is CaTaTl2 after structural relaxation from Alexandria. Energies are from PBE.

a = 4.500 Å, b = 4.508 Å, c = 9.207 Å
α = 90.00°, β = 90.00°, γ = 90.00°
Space group Cmmm (No. 65)
Symmetry-distinct sites (fractional):
Ca  0.000  0.000  0.000 x2
Ta  0.000  0.000  0.500 x2
Tl  0.000  0.500  0.264 x4

Summary:
As for the density: 11.20 g cm⁻³. The formation energy is 4.5 kcal/mol of atoms. The total energy comes out at -0.32703 Ry per atom.

---

[18]
Here is FeCoNi3 after structural relaxation from Alexandria. Energies are from PBE.

a = 5.8232 Å, b = 5.8232 Å, c = 4.3765 Å
α = 90.00°, β = 90.00°, γ = 120.00°
Space group P6_3/mmc (No. 194)
Symmetry-distinct sites (fractional):
Fe  0.3333  0.6667  0.2500 x2
Co  0.0000  0.0000  0.0000 x2
Ni  0.2012  0.4024  0.7500 x6

Summary:
The value obtained for the distance to the lowest polymorph of the same formula is 558.1 meV/atom. As for the density: 7.52 g cm⁻³. The formation energy is 11.7 kcal/mol of atoms. The total energy comes out at -0.44658 Ry per atom.

---

[19]
Here is TiZn2Pt2 after structural relaxation from Alexandria. Energies are from PBE.

a = 6.715 Å, b = 6.715 Å, c = 3.616 Å
α = 90.00°, β = 90.00°, γ = 90.00°
Space group P4/mbm (No. 127)
Symmetry-distinct sites (fractional):
Ti  0.000  0.000  0.000 x2
Zn  0.159  0.341  0.500 x4
Pt  0.142  0.642  0.000 x4

Summary:
The value obtained for the distance to the lowest polymorph of the same formula is 168.6 meV/atom. As for the density: 11.59 g cm⁻³. The formation energy is -10.5 kcal/mol of atoms. The total energy comes out at -0.36455 Ry per atom.

---

[20]
Here is TaCo2 after structural relaxation from Alexandria. Energies are from PBE.

a = 3.178 Å, b = 3.178 Å, c = 16.475 Å
α = 90.00°, β = 90.00°, γ = 90.00°
Space group I4_1/amd (No. 141, origin choice 2)
Symmetry-distinct sites (fractional):
Ta  0.000  0.250  0.375 x4
Co  0.000  0.250  0.800 x8

Summary:
As for the density: 11.93 g cm⁻³. The formation energy is 2.8 kcal/mol of atoms. The total energy comes out at -0.62960 Ry per atom.